A plane-wave DFT calculation with PBE-GGA was carried out for a relaxed structure of Na2Ag2SbS4.

abc: 3.9308 8.0078 7.7543
angles: 120.23 90.00 104.21
Last column: nearest neighbours and their distance in Å.
Element x y z (fractional)
Na 0.8385 0.6770 0.4624  5 S 2.83-2.98
Na 0.1615 0.3230 0.5376  5 S 2.83-2.98
Ag 0.3257 0.6515 0.0809  2 S 2.48-2.54
Ag 0.6743 0.3485 0.9191  2 S 2.48-2.54
Sb 0.0000 0.0000 0.0000  6 S 2.68-2.72
S 0.7978 0.5957 0.7981  3 Ag 2.54-2.81, 1 Sb 2.68, 2 Na 2.83
S 0.2022 0.4043 0.2019  3 Ag 2.54-2.81, 1 Sb 2.68, 2 Na 2.83
S 0.5121 0.0242 0.2549  1 Ag 2.48, 2 Sb 2.72
S 0.4879 0.9758 0.7451  1 Ag 2.48, 2 Sb 2.72

Calculated values
Uncorrected energy = -3.64 eV/atom
Magnetic moment = 0.00 μB per formula unit
SG = No. 12

---

A plane-wave DFT calculation with PBE-GGA was carried out for a relaxed structure of NaAgSb2S4.

abc: 5.8606 5.8606 6.8592
angles: 117.44 117.44 85.48
Last column: nearest neighbours and their distance in Å.
Element x y z (fractional)
Na 0.9347 0.9347 0.0000  6 S 2.82-2.97
Ag 0.3781 0.3781 0.0000  4 S 2.58-2.69
Sb 0.1738 0.6738 0.5000  4 S 2.61-2.67
Sb 0.6738 0.1738 0.5000  4 S 2.61-2.67
S 0.9381 0.4412 0.0000  1 Ag 2.58, 2 Sb 2.67
S 0.4412 0.9381 0.0000  1 Ag 2.58, 2 Sb 2.67
S 0.2408 0.2408 0.5240  2 Sb 2.61, 1 Ag 2.69, 1 Na 2.82
S 0.7169 0.7169 0.4760  2 Sb 2.61, 1 Ag 2.69, 1 Na 2.82

Calculated values
Uncorrected energy = -3.96 eV/atom
Magnetic moment = 0.00 μB per formula unit
SG = No. 42

---

A plane-wave DFT calculation with PBE-GGA was carried out for a relaxed structure of NaAgSbS2.

abc: 4.5100 6.9214 8.0208
angles: 101.05 90.00 90.00
Last column: nearest neighbours and their distance in Å.
Element x y z (fractional)
Na 0.1520 0.5000 0.7500  6 S 3.03-3.18
Na 0.8480 0.5000 0.2500  6 S 3.03-3.18
Ag 0.0000 0.0000 0.0000  2 S 2.45
Ag 0.0000 0.0000 0.5000  2 S 2.45
Sb 0.4921 0.0000 0.2500  4 S 2.82-2.83, 4 Ag 2.99-3.04
Sb 0.5079 0.0000 0.7500  4 S 2.82-2.83, 4 Ag 2.99-3.04
S 0.6491 0.7241 0.9569  1 Ag 2.45
S 0.6491 0.2759 0.5431  1 Ag 2.45
S 0.3509 0.7241 0.4569  1 Ag 2.45
S 0.3509 0.2759 0.0431  1 Ag 2.45

Calculated values
Uncorrected energy = -3.59 eV/atom
Magnetic moment = 0.00 μB per formula unit
SG = No. 13

---

A plane-wave DFT calculation with PBE-GGA was carried out for a relaxed structure of NaAgSbS3.

abc: 3.8796 7.1041 10.4215
angles: 90.00 90.00 105.85
Last column: nearest neighbours and their distance in Å.
Element x y z (fractional)
Na 0.6911 0.3823 0.7500  4 S 2.83-2.93
Na 0.3089 0.6177 0.2500  4 S 2.83-2.93
Ag 0.3849 0.7698 0.7500  2 S 2.39
Ag 0.6151 0.2302 0.2500  2 S 2.39
Sb 0.0000 0.0000 0.5000  6 S 2.66-2.69
Sb 0.0000 0.0000 0.0000  6 S 2.66-2.69
S 0.6354 0.2708 0.4780  1 Ag 2.39
S 0.3646 0.7292 0.5220  1 Ag 2.39
S 0.3646 0.7292 0.9780  1 Ag 2.39
S 0.6354 0.2708 0.0220  1 Ag 2.39
S 0.0402 0.0805 0.7500  2 Sb 2.66, 2 Na 2.83, 2 Ag 2.88
S 0.9598 0.9195 0.2500  2 Sb 2.66, 2 Na 2.83, 2 Ag 2.88

Calculated values
Uncorrected energy = -3.78 eV/atom
Magnetic moment = 0.00 μB per formula unit
SG = No. 63

---

A plane-wave DFT calculation with PBE-GGA was carried out for a relaxed structure of Na4AgSb3S8.

abc: 7.7400 8.1202 7.8873
angles: 118.82 119.38 90.00
Last column: nearest neighbours and their distance in Å.
Element x y z (fractional)
Na 0.5000 0.0000 0.0000  6 S 2.78-2.99
Na 0.5000 0.0000 0.5000  6 S 2.87-3.00
Na 0.0000 0.0000 0.0000  6 S 2.90-2.95
Na 0.0000 0.0000 0.5000  6 S 2.87-3.00
Ag 0.0000 0.5000 0.0000  4 S 2.63
Sb 0.5000 0.5000 0.0000  6 S 2.73-2.78
Sb 0.5000 0.5000 0.5000  6 S 2.70-2.75
Sb 0.0000 0.5000 0.5000  6 S 2.70-2.75
S 0.2312 0.7183 0.9798  1 Ag 2.63, 2 Sb 2.73-2.75, 1 Na 2.90
S 0.2586 0.7400 0.5171  2 Sb 2.70, 3 Na 2.78-2.91, 1 Ag 2.96
S 0.2571 0.2676 0.5142  3 Sb 2.74-2.78, 3 Na 2.87-2.95
S 0.7487 0.7183 0.9798  1 Ag 2.63, 2 Sb 2.73-2.75, 1 Na 2.90
S 0.2513 0.2817 0.0202  1 Ag 2.63, 2 Sb 2.73-2.75, 1 Na 2.90
S 0.7429 0.7324 0.4858  3 Sb 2.74-2.78, 3 Na 2.87-2.95
S 0.7414 0.2600 0.4829  2 Sb 2.70, 3 Na 2.78-2.91, 1 Ag 2.96
S 0.7688 0.2817 0.0202  1 Ag 2.63, 2 Sb 2.73-2.75, 1 Na 2.90

Calculated values
Uncorrected energy = -3.89 eV/atom
Magnetic moment = 0.00 μB per formula unit
SG = No. 12

---

A plane-wave DFT calculation with PBE-GGA was carried out for a relaxed structure of NaAgSeS.

abc: 4.3025 4.1304 5.9166
angles: 108.79 111.32 90.00
Last column: nearest neighbours and their distance in Å.
Element x y z (fractional)
Na 0.3868 0.5420 0.7737  4 S 2.88-3.19, 2 Se 3.04, 2 Ag 3.20
Ag 0.1109 0.8693 0.2217  1 S 2.52, 2 Se 2.68
Se 0.7322 0.7438 0.4643  1 S 2.32
S 0.9396 0.1465 0.8792  1 Se 2.32, 1 Ag 2.52

Calculated values
Uncorrected energy = -3.32 eV/atom
Magnetic moment = 0.00 μB per formula unit
SG = No. 8

---

A plane-wave DFT calculation with PBE-GGA was carried out for a relaxed structure of NaSiAg2S4.

abc: 6.7180 6.0734 6.0734
angles: 77.24 56.42 56.42
Last column: nearest neighbours and their distance in Å.
Element x y z (fractional)
Na 0.0000 0.0000 0.0000  8 S 3.17-3.18
Si 0.0000 0.5000 0.5000  4 S 2.14
Ag 0.5000 0.7125 0.2875  4 S 2.50-2.63
Ag 0.5000 0.2875 0.7125  4 S 2.50-2.63
S 0.6228 0.5353 0.8445  1 Si 2.14
S 0.3772 0.1555 0.4647  1 Si 2.14
S 0.0027 0.4647 0.1555  1 Si 2.14
S 0.9973 0.8445 0.5353  1 Si 2.14

Calculated values
Uncorrected energy = -4.13 eV/atom
Magnetic moment = 0.00 μB per formula unit
SG = No. 23

---

A plane-wave DFT calculation with PBE-GGA was carried out for a relaxed structure of NaSmAgS2.

abc: 5.3000 6.4171 7.6704
angles: 90.12 90.00 90.00
Last column: nearest neighbours and their distance in Å.
Element x y z (fractional)
Na 0.0011 0.5000 0.7500  4 S 2.96
Na 0.9989 0.5000 0.2500  4 S 2.96
Sm 0.4998 0.0000 0.2500  4 S 2.76
Sm 0.5002 0.0000 0.7500  4 S 2.76
Ag 0.0000 0.0000 0.0000  2 S 2.46
Ag 0.0000 0.0000 0.5000  2 S 2.46
S 0.6738 0.7268 0.9996  1 Ag 2.46, 2 Sm 2.76
S 0.6738 0.2732 0.5004  1 Ag 2.46, 2 Sm 2.76
S 0.3262 0.7268 0.4996  1 Ag 2.46, 2 Sm 2.76
S 0.3262 0.2732 0.0004  1 Ag 2.46, 2 Sm 2.76

Calculated values
Uncorrected energy = -4.41 eV/atom
Magnetic moment = 0.00 μB per formula unit
SG = No. 13

---

no.,theoretical density (g/cm3),N(E_F) (states/eV/atom)
1,4.20,0.521
2,4.56,0.007
3,4.28,0.365
4,4.19,0.325
5,3.79,0.909
6,4.37,0.084
7,3.84,0.370
8,4.40,0.491